1.
La3Tb2Y4 after structural relaxation, computed with GGA-PBE.

Calculated values
For the formation energy, the calculation gives 9.6 kJ per mole of atoms. As for the polymorph energy (0 for the lowest one): 80 meV per atom. For the total energy, the calculation gives -5.4448 eV per atom.

Structure (CIF):
```
data_La3Tb2Y4
_chemical_formula_sum 'La12 Tb8 Y16'
_cell_length_a 16.568
_cell_length_b 11.907
_cell_length_c 6.192
_cell_angle_alpha 90.00
_cell_angle_beta 97.63
_cell_angle_gamma 90.00
_symmetry_space_group_name_H-M 'C 1 2/c 1'
_symmetry_Int_Tables_number 15
_symmetry_space_group_name_Hall '-C 2yc'
loop_
_atom_site_label
_atom_site_fract_x
_atom_site_fract_y
_atom_site_fract_z
La1 0.000 0.121 0.250
La2 0.167 0.365 0.085
Tb1 0.111 0.128 0.801
Y1 0.056 0.377 0.533
Y2 0.222 0.120 0.368
```


2.
TaCdCu2 after structural relaxation, computed with GGA-PBE.

Calculated values
For the formation energy, the calculation gives 40.4 kJ per mole of atoms. For the total energy, the calculation gives -4.8209 eV per atom.

Structure (CIF):
```
data_TaCdCu2
_chemical_formula_sum 'Ta2 Cd2 Cu4'
_cell_length_a 4.166
_cell_length_b 4.166
_cell_length_c 7.245
_cell_angle_alpha 90.00
_cell_angle_beta 90.00
_cell_angle_gamma 90.00
_symmetry_space_group_name_H-M 'I -4 m 2'
_symmetry_Int_Tables_number 119
_symmetry_space_group_name_Hall 'I -4 -2'
loop_
_atom_site_label
_atom_site_fract_x
_atom_site_fract_y
_atom_site_fract_z
Ta1 0.000 0.000 0.000
Cd1 0.000 0.500 0.750
Cu1 0.000 0.000 0.500
Cu2 0.000 0.500 0.250
```


3.
LiTcMo2Br after structural relaxation, computed with GGA-PBE.

Calculated values
For the energy relative to the elements, uncorrected, the calculation gives 1.5429 eV per atom. For the total energy, the calculation gives -5.5801 eV per atom.

Structure (CIF):
```
data_LiTcMo2Br
_chemical_formula_sum 'Li1 Tc1 Mo2 Br1'
_cell_length_a 4.625
_cell_length_b 4.625
_cell_length_c 4.574
_cell_angle_alpha 90.00
_cell_angle_beta 90.00
_cell_angle_gamma 90.00
_symmetry_space_group_name_H-M 'P 4/m m m'
_symmetry_Int_Tables_number 123
_symmetry_space_group_name_Hall '-P 4 2'
loop_
_atom_site_label
_atom_site_fract_x
_atom_site_fract_y
_atom_site_fract_z
Li1 0.000 0.000 0.000
Tc1 0.500 0.500 0.000
Mo1 0.000 0.500 0.500
Br1 0.500 0.500 0.500
```